! Cs4Rh2O5 (PBE, optimized geometry); values from VASP
&SYSTEM
  ibrav = 0, nat = 11, ntyp = 3
/
ATOMIC_SPECIES
Cs 132.91 Cs.upf
Rh 102.91 Rh.upf
O 16.00 O.upf
ATOMIC_POSITIONS crystal
Cs 0.050 0.050 0.917
Cs 0.900 0.900 0.459
Cs 0.688 0.688 0.902
Cs 0.306 0.306 0.163
Rh 0.574 0.574 0.334
Rh 0.449 0.449 0.704
O 0.786 0.342 0.213
O 0.157 0.601 0.811
O 0.601 0.157 0.811
O 0.342 0.786 0.213
O 0.604 0.604 0.547
CELL_PARAMETERS angstrom
-4.364 -4.683 1.546
2.423 -5.969 1.366
0.226 0.023 8.350
! **Total DFT energy (no corrections)**: -4.89 eV per atom
! **Raw formation energy**: -0.989 eV per atom